No. 1
# Ca3Tm, relaxed, DFT PBE-GGA
data_Ca3Tm
_chemical_formula_sum 'Ca12 Tm4'
_symmetry_space_group_name_H-M 'F m -3 m'
_symmetry_Int_Tables_number 225
_symmetry_space_group_name_Hall '-F 4 2 3'
_cell_length_a 8.4308
_cell_length_b 8.4308
_cell_length_c 8.4308
_cell_angle_alpha 90.00
_cell_angle_beta 90.00
_cell_angle_gamma 90.00
loop_
_atom_site_label
_atom_site_type_symbol
_atom_site_fract_x
_atom_site_fract_y
_atom_site_fract_z
_atom_site_occupancy
Ca1 Ca 0.0000 0.0000 0.0000 1
Ca2 Ca 0.2500 0.2500 0.2500 1
Tm1 Tm 0.0000 0.0000 0.5000 1
# Distance to the lowest polymorph of the same formula (meV per atom): 13
# ΔE_f (meV per atom): 146
# Mass density (g/cm³): 3.21
# Magnetic moment (μB per formula unit): 0.000

=====

No. 2
# Sr2TbCd12Au3, relaxed, DFT PBE-GGA
data_Sr2TbCd12Au3
_chemical_formula_sum 'Sr6 Tb3 Cd36 Au9'
_symmetry_space_group_name_H-M 'R -3 m'
_symmetry_Int_Tables_number 166
_symmetry_space_group_name_Hall '-R 3 2"'
_cell_length_a 8.3432
_cell_length_b 8.3432
_cell_length_c 26.8269
_cell_angle_alpha 90.00
_cell_angle_beta 90.00
_cell_angle_gamma 120.00
loop_
_atom_site_label
_atom_site_type_symbol
_atom_site_fract_x
_atom_site_fract_y
_atom_site_fract_z
_atom_site_occupancy
Sr1 Sr 0.0000 0.0000 0.1179 1
Tb1 Tb 0.0000 0.0000 0.5000 1
Cd1 Cd 0.0747 0.5374 0.2710 1
Cd2 Cd 0.0926 0.5463 0.8913 1
Au1 Au 0.0000 0.5000 0.0000 1
# ΔE_f (meV per atom): -18
# Mass density (g/cm³): 7.00
# Magnetic moment (μB per formula unit): 0.000

=====

No. 3
# Nd6Cd2Tc, relaxed, DFT PBE-GGA
data_Nd6Cd2Tc
_chemical_formula_sum 'Nd12 Cd4 Tc2'
_symmetry_space_group_name_H-M 'A m m 2'
_symmetry_Int_Tables_number 38
_cell_length_a 3.9986
_cell_length_b 15.0584
_cell_length_c 8.9404
_cell_angle_alpha 90.00
_cell_angle_beta 90.00
_cell_angle_gamma 90.00
loop_
_symmetry_equiv_pos_as_xyz
'x,y,z'
'-x,-y,z'
'-x,y,z'
'x,-y,z'
'x,y+1/2,z+1/2'
'-x,-y+1/2,z+1/2'
'-x,y+1/2,z+1/2'
'x,-y+1/2,z+1/2'
loop_
_atom_site_label
_atom_site_type_symbol
_atom_site_fract_x
_atom_site_fract_y
_atom_site_fract_z
_atom_site_occupancy
Nd1 Nd 0.0000 0.0000 0.0000 1
Nd2 Nd 0.0000 0.1162 0.6320 1
Nd3 Nd 0.5000 0.0000 0.3553 1
Nd4 Nd 0.5000 0.1992 0.9485 1
Cd1 Cd 0.0000 0.1680 0.2506 1
Tc1 Tc 0.5000 0.0000 0.7751 1
# Distance to the lowest polymorph of the same formula (meV per atom): 0
# ΔE_f (meV per atom): -105
# Mass density (g/cm³): 7.33
# Magnetic moment (μB per formula unit): 0.000

=====

No. 4
# Fe2CuBr, relaxed, DFT PBE-GGA
data_Fe2CuBr
_chemical_formula_sum 'Fe8 Cu4 Br4'
_symmetry_space_group_name_H-M 'F m -3 m'
_symmetry_Int_Tables_number 225
_symmetry_space_group_name_Hall '-F 4 2 3'
_cell_length_a 5.8623
_cell_length_b 5.8623
_cell_length_c 5.8623
_cell_angle_alpha 90.00
_cell_angle_beta 90.00
_cell_angle_gamma 90.00
loop_
_atom_site_label
_atom_site_type_symbol
_atom_site_fract_x
_atom_site_fract_y
_atom_site_fract_z
_atom_site_occupancy
Fe1 Fe 0.2500 0.2500 0.2500 1
Cu1 Cu 0.0000 0.0000 0.0000 1
Br1 Br 0.0000 0.0000 0.5000 1
# Distance to the lowest polymorph of the same formula (meV per atom): 707
# Formation energy without anion corrections (meV/atom): 1049.9
# Mass density (g/cm³): 8.41
# Magnetic moment (μB per formula unit): 0.012